Entry 1:
## La6AgOs2Cl3 (PBE-GGA)

Data for La6AgOs2Cl3 after structural relaxation.

Calculated values
Total magnetization = 0.00 Bohr magnetons per cell
Fermi-level density of states = 4.7 states/eV/cell
Uncorrected energy = -5.974 eV/atom
Symmetry = No. 12
E_form (uncorrected) = -0.9392 eV per atom
Calculated volume = 358.4 Å³/f.u.

abc: 10.0068 10.0068 9.1456
angles: 108.12 108.12 24.39
Closest atoms and distances in Å follow each position.
Fractional coordinates of all 12 atoms:
1 La 0.0195 0.0195 0.2535  1 Os 2.69
2 La 0.3208 0.3208 0.4401  3 Os 2.91
3 La 0.3338 0.3338 0.8762  2 Os 2.86, 1 Ag 3.08, 1 Cl 3.11
4 La 0.6662 0.6662 0.1238  2 Os 2.86, 1 Ag 3.08, 1 Cl 3.11
5 La 0.6792 0.6792 0.5599  3 Os 2.91
6 La 0.9805 0.9805 0.7465  1 Os 2.69
7 Ag 0.5000 0.5000 0.0000  6 La 3.07-3.08
8 Os 0.1641 0.1641 0.3329  6 La 2.69-2.91
9 Os 0.8359 0.8359 0.6671  6 La 2.69-2.91
10 Cl 0.1697 0.1697 0.8359  5 La 3.11-3.39
11 Cl 0.5000 0.5000 0.5000  6 La 3.20-3.37
12 Cl 0.8303 0.8303 0.1641  5 La 3.11-3.39

Entry 2:
## La4AgPCl2 (PBE-GGA)

Data for La4AgPCl2 after structural relaxation.

Calculated values
Total magnetization = 0.00 Bohr magnetons per cell
Fermi-level density of states = 5.4 states/eV/cell
Uncorrected energy = -5.218 eV/atom
Symmetry = No. 10
E_form (uncorrected) = -1.2602 eV per atom
Calculated volume = 220.4 Å³/f.u.

abc: 7.1682 4.3237 7.5638
angles: 90.00 109.94 90.00
Closest atoms and distances in Å follow each position.
Fractional coordinates of all 8 atoms:
1 La 0.2424 0.0000 0.2313  3 Cl 2.95-3.11, 2 P 2.95, 1 Ag 3.09
2 La 0.2545 0.5000 0.7693  1 P 2.92, 3 Cl 2.95-3.11, 2 Ag 3.10
3 La 0.7455 0.5000 0.2307  1 P 2.92, 3 Cl 2.95-3.11, 2 Ag 3.10
4 La 0.7576 0.0000 0.7687  3 Cl 2.95-3.11, 2 P 2.95, 1 Ag 3.09
5 Ag 0.0000 0.0000 0.5000  6 La 3.09-3.10
6 P 0.0000 0.5000 0.0000  6 La 2.92-2.95
7 Cl 0.5000 0.0000 0.0000  6 La 2.95
8 Cl 0.5000 0.5000 0.5000  6 La 3.11

Entry 3:
## LaAgP2Cl (PBE-GGA)

Data for LaAgP2Cl after structural relaxation.

Calculated values
Total magnetization = 0.00 Bohr magnetons per cell
Fermi-level density of states = 3.0 states/eV/cell
Uncorrected energy = -4.356 eV/atom
Energy above the most stable polymorph in this dataset = 0.00 eV/f.u.
Symmetry = No. 123
E_form (uncorrected) = -0.2672 eV per atom
Calculated volume = 117.4 Å³/f.u.

abc: 4.7693 4.7693 5.1628
angles: 90.00 90.00 90.00
Closest atoms and distances in Å follow each position.
Fractional coordinates of all 5 atoms:
1 La 0.0000 0.0000 0.0000  4 Cl 3.37, 8 P 3.51
2 Ag 0.5000 0.5000 0.5000  4 P 2.38, 2 Cl 2.58
3 P 0.0000 0.5000 0.5000  2 Ag 2.38
4 P 0.5000 0.0000 0.5000  2 Ag 2.38
5 Cl 0.5000 0.5000 0.0000  2 Ag 2.58

Entry 4:
## LaAgP2Cl (PBE-GGA)

Data for LaAgP2Cl after structural relaxation.

Calculated values
Total magnetization = 1.11 Bohr magnetons per cell
Fermi-level density of states = 3.9 states/eV/cell
Uncorrected energy = -3.863 eV/atom
Energy above the most stable polymorph in this dataset = 2.47 eV/f.u.
Symmetry = No. 123
E_form (uncorrected) = 0.2258 eV per atom
Calculated volume = 173.8 Å³/f.u.

abc: 5.6422 5.6422 5.4608
angles: 90.00 90.00 90.00
Closest atoms and distances in Å follow each position.
Fractional coordinates of all 5 atoms:
1 La 0.0000 0.0000 0.0000  2 Cl 2.73, 4 P 2.82
2 Ag 0.5000 0.5000 0.5000  8 P 3.93, 4 Cl 3.99
3 P 0.0000 0.5000 0.0000  2 La 2.82
4 P 0.5000 0.0000 0.0000  2 La 2.82
5 Cl 0.0000 0.0000 0.5000  2 La 2.73

Entry 5:
## LaAgPdCl2 (PBE-GGA)

Data for LaAgPdCl2 after structural relaxation.

Calculated values
Total magnetization = 0.07 Bohr magnetons per cell
Fermi-level density of states = 5.2 states/eV/cell
Uncorrected energy = -3.765 eV/atom
Symmetry = No. 123
E_form (uncorrected) = -0.4318 eV per atom
Calculated volume = 179.5 Å³/f.u.

abc: 5.3748 5.3748 6.2132
angles: 90.00 90.00 90.00
Closest atoms and distances in Å follow each position.
Fractional coordinates of all 5 atoms:
1 La 0.0000 0.0000 0.0000  4 Cl 2.69
2 Ag 0.0000 0.0000 0.5000  2 La 3.11
3 Pd 0.5000 0.5000 0.5000  4 Ag 3.80, 8 Cl 4.11
4 Cl 0.0000 0.5000 0.0000  2 La 2.69
5 Cl 0.5000 0.0000 0.0000  2 La 2.69

Entry 6:
## La3AgPtCl (PBE-GGA)

Data for La3AgPtCl after structural relaxation.

Calculated values
Total magnetization = 0.41 Bohr magnetons per cell
Fermi-level density of states = 11.6 states/eV/cell
Uncorrected energy = -5.168 eV/atom
Symmetry = No. 11
E_form (uncorrected) = -0.9147 eV per atom
Calculated volume = 178.1 Å³/f.u.

abc: 7.7528 4.3780 10.6806
angles: 90.00 100.71 90.00
Closest atoms and distances in Å follow each position.
Fractional coordinates of all 12 atoms:
1 La 0.0486 0.2500 0.3533  1 Cl 2.78, 2 Pt 2.92
2 La 0.3042 0.7500 0.0543  3 Cl 2.90-3.09
3 La 0.4467 0.7500 0.6406  3 Pt 2.95-2.98, 2 Ag 3.23
4 La 0.5533 0.2500 0.3594  3 Pt 2.95-2.98, 2 Ag 3.23
5 La 0.6958 0.2500 0.9457  3 Cl 2.90-3.09
6 La 0.9514 0.7500 0.6467  1 Cl 2.78, 2 Pt 2.92
7 Ag 0.2779 0.2500 0.8046  7 La 3.23-3.53
8 Ag 0.7221 0.7500 0.1954  7 La 3.23-3.53
9 Pt 0.2992 0.7500 0.3622  5 La 2.92-2.98
10 Pt 0.7008 0.2500 0.6378  5 La 2.92-2.98
11 Cl 0.0763 0.2500 0.0974  4 La 2.78-3.09, 2 Cl 3.10
12 Cl 0.9237 0.7500 0.9026  4 La 2.78-3.09, 2 Cl 3.10

Entry 7:
## Rb2LaAgCl6 (PBE-GGA)

Data for Rb2LaAgCl6 after structural relaxation.

Calculated values
Total magnetization = 0.00 Bohr magnetons per cell
Fermi-level density of states = 0.0 states/eV/cell
Uncorrected energy = -3.902 eV/atom
Energy above the most stable polymorph in this dataset = 0.24 eV/f.u.
Symmetry = No. 225
E_form (uncorrected) = -1.8226 eV per atom
Calculated volume = 334.3 Å³/f.u.

abc: 7.7901 7.7901 7.7901
angles: 60.00 60.00 60.00
Closest atoms and distances in Å follow each position.
Fractional coordinates of all 10 atoms:
1 Rb 0.2500 0.2500 0.2500  12 Cl 3.90
2 Rb 0.7500 0.7500 0.7500  12 Cl 3.90
3 La 0.0000 0.0000 0.0000  6 Cl 2.76
4 Ag 0.5000 0.5000 0.5000  6 Cl 2.74
5 Cl 0.2510 0.2510 0.7490  1 Ag 2.74, 1 La 2.76
6 Cl 0.2510 0.7490 0.2510  1 Ag 2.74, 1 La 2.76
7 Cl 0.2510 0.7490 0.7490  1 Ag 2.74, 1 La 2.76
8 Cl 0.7490 0.2510 0.2510  1 Ag 2.74, 1 La 2.76
9 Cl 0.7490 0.2510 0.7490  1 Ag 2.74, 1 La 2.76
10 Cl 0.7490 0.7490 0.2510  1 Ag 2.74, 1 La 2.76

Entry 8:
## Rb2LaAgCl6 (PBE-GGA)

Data for Rb2LaAgCl6 after structural relaxation.

Calculated values
Total magnetization = 0.00 Bohr magnetons per cell
Fermi-level density of states = 0.0 states/eV/cell
Uncorrected energy = -3.926 eV/atom
Energy above the most stable polymorph in this dataset = 0.00 eV/f.u.
Symmetry = No. 14
E_form (uncorrected) = -1.8468 eV per atom
Calculated volume = 322.2 Å³/f.u.

abc: 7.6264 7.9211 13.0522
angles: 90.00 125.18 90.00
Closest atoms and distances in Å follow each position.
Fractional coordinates of all 20 atoms:
1 Rb 0.2324 0.0610 0.2493  8 Cl 3.35-3.75
2 Rb 0.2324 0.4390 0.7493  8 Cl 3.35-3.75
3 Rb 0.7676 0.5610 0.2507  8 Cl 3.35-3.75
4 Rb 0.7676 0.9390 0.7507  8 Cl 3.35-3.75
5 La 0.5000 0.0000 0.0000  6 Cl 2.79
6 La 0.5000 0.5000 0.5000  6 Cl 2.79
7 Ag 0.0000 0.0000 0.5000  6 Cl 2.71-2.88
8 Ag 0.0000 0.5000 0.0000  6 Cl 2.71-2.88
9 Cl 0.1625 0.2008 0.9560  1 La 2.79, 1 Ag 2.88
10 Cl 0.1625 0.2992 0.4560  1 La 2.79, 1 Ag 2.88
11 Cl 0.2577 0.7104 0.9570  1 La 2.79, 1 Ag 2.87
12 Cl 0.2577 0.7896 0.4570  1 La 2.79, 1 Ag 2.87
13 Cl 0.3301 0.0218 0.7452  1 Ag 2.71, 1 La 2.79
14 Cl 0.3301 0.4782 0.2452  1 Ag 2.71, 1 La 2.79
15 Cl 0.6699 0.5218 0.7548  1 Ag 2.71, 1 La 2.79
16 Cl 0.6699 0.9782 0.2548  1 Ag 2.71, 1 La 2.79
17 Cl 0.7423 0.2104 0.5430  1 La 2.79, 1 Ag 2.87
18 Cl 0.7423 0.2896 0.0430  1 La 2.79, 1 Ag 2.87
19 Cl 0.8375 0.7008 0.5440  1 La 2.79, 1 Ag 2.88
20 Cl 0.8375 0.7992 0.0440  1 La 2.79, 1 Ag 2.88

Entry 9:
## RbLaAg2Cl8 (PBE-GGA)

Data for RbLaAg2Cl8 after structural relaxation.

Calculated values
Total magnetization = 0.02 Bohr magnetons per cell
Fermi-level density of states = 15.2 states/eV/cell
Uncorrected energy = -3.410 eV/atom
Symmetry = No. 82
E_form (uncorrected) = -1.2127 eV per atom
Calculated volume = 357.8 Å³/f.u.

abc: 8.9176 8.9176 8.9176
angles: 134.27 134.27 66.67
Closest atoms and distances in Å follow each position.
Fractional coordinates of all 12 atoms:
1 Rb 0.0000 0.0000 0.0000  8 Cl 3.27-3.40
2 La 0.2500 0.7500 0.5000  8 Cl 2.89-2.94
3 Ag 0.5000 0.5000 0.0000  4 Cl 2.55
4 Ag 0.7500 0.2500 0.5000  4 Cl 2.46
5 Cl 0.2829 0.6957 0.1587  1 Ag 2.55
6 Cl 0.3043 0.4629 0.5872  1 Ag 2.55
7 Cl 0.4034 0.0265 0.0474  1 Ag 2.46
8 Cl 0.5371 0.1242 0.8413  1 Ag 2.55
9 Cl 0.6439 0.5966 0.6230  1 Ag 2.46
10 Cl 0.8758 0.7171 0.4128  1 Ag 2.55
11 Cl 0.9735 0.0209 0.3770  1 Ag 2.46
12 Cl 0.9791 0.3561 0.9526  1 Ag 2.46

Entry 10:
## RbLaAgCl5 (PBE-GGA)

Data for RbLaAgCl5 after structural relaxation.

Calculated values
Total magnetization = 0.00 Bohr magnetons per cell
Fermi-level density of states = 0.0 states/eV/cell
Uncorrected energy = -4.052 eV/atom
Symmetry = No. 15
E_form (uncorrected) = -1.8045 eV per atom
Calculated volume = 285.1 Å³/f.u.

abc: 7.8578 7.8578 10.5195
angles: 102.55 102.55 108.84
Closest atoms and distances in Å follow each position.
Fractional coordinates of all 16 atoms:
1 Rb 0.1545 0.8455 0.7500  5 Cl 3.36-3.38
2 Rb 0.8455 0.1545 0.2500  5 Cl 3.36-3.38
3 La 0.5000 0.5000 0.0000  6 Cl 2.78-2.83
4 La 0.5000 0.5000 0.5000  6 Cl 2.78-2.83
5 Ag 0.1861 0.8139 0.2500  4 Cl 2.60-2.63
6 Ag 0.8139 0.1861 0.7500  4 Cl 2.60-2.63
7 Cl 0.1300 0.2433 0.9328  1 Ag 2.63, 1 La 2.78
8 Cl 0.1918 0.5879 0.3968  1 Ag 2.60, 1 La 2.79
9 Cl 0.2433 0.1300 0.4328  1 Ag 2.63, 1 La 2.78
10 Cl 0.4121 0.8082 0.1032  1 Ag 2.60, 1 La 2.79
11 Cl 0.4190 0.5810 0.7500  2 La 2.83
12 Cl 0.5810 0.4190 0.2500  2 La 2.83
13 Cl 0.5879 0.1918 0.8968  1 Ag 2.60, 1 La 2.79
14 Cl 0.7567 0.8700 0.5672  1 Ag 2.63, 1 La 2.78
15 Cl 0.8082 0.4121 0.6032  1 Ag 2.60, 1 La 2.79
16 Cl 0.8700 0.7567 0.0672  1 Ag 2.63, 1 La 2.78

Entry 11:
## RbLaAg2Cl6 (PBE-GGA)

Data for RbLaAg2Cl6 after structural relaxation.

Calculated values
Total magnetization = 0.00 Bohr magnetons per cell
Fermi-level density of states = 0.0 states/eV/cell
Uncorrected energy = -3.780 eV/atom
Symmetry = No. 1
E_form (uncorrected) = -1.5125 eV per atom
Calculated volume = 323.9 Å³/f.u.

abc: 7.5024 7.5073 7.9034
angles: 61.76 62.08 60.12
Closest atoms and distances in Å follow each position.
Fractional coordinates of all 10 atoms:
1 Rb 0.0000 0.0000 0.0000  6 Cl 3.27-3.32
2 La 0.4959 0.4969 0.5097  6 Cl 2.75-2.87
3 Ag 0.2494 0.2558 0.2421  3 Cl 2.52-2.53
4 Ag 0.7063 0.6995 0.8918  4 Cl 2.67-2.98
5 Cl 0.0986 0.4521 0.7137  1 Ag 2.69, 1 La 2.75
6 Cl 0.3274 0.8947 0.2262  1 Ag 2.53
7 Cl 0.4564 0.7302 0.7184  1 Ag 2.67, 1 La 2.76
8 Cl 0.5518 0.3326 0.2214  1 Ag 2.52
9 Cl 0.7308 0.0957 0.7173  1 Ag 2.69, 1 La 2.76
10 Cl 0.8900 0.5549 0.2167  1 Ag 2.53

Entry 12:
## Rb3LaAg2Cl9 (PBE-GGA)

Data for Rb3LaAg2Cl9 after structural relaxation.

Calculated values
Total magnetization = 0.00 Bohr magnetons per cell
Fermi-level density of states = 7.7 states/eV/cell
Uncorrected energy = -3.566 eV/atom
Symmetry = No. 164
E_form (uncorrected) = -1.5557 eV per atom
Calculated volume = 470.9 Å³/f.u.

abc: 7.5555 7.5555 9.5248
angles: 90.00 90.00 120.00
Closest atoms and distances in Å follow each position.
Fractional coordinates of all 15 atoms:
1 Rb 0.0000 0.0000 0.0000  12 Cl 3.78-3.81
2 Rb 0.3333 0.6667 0.7150  9 Cl 3.48-3.80
3 Rb 0.6667 0.3333 0.2850  9 Cl 3.48-3.80
4 La 0.0000 0.0000 0.5000  6 Cl 2.76
5 Ag 0.3333 0.6667 0.1518  6 Cl 2.62-2.72
6 Ag 0.6667 0.3333 0.8482  6 Cl 2.62-2.72
7 Cl 0.0000 0.5000 0.0000  2 Ag 2.62
8 Cl 0.1688 0.3376 0.3261  1 Ag 2.72, 1 La 2.76
9 Cl 0.1688 0.8312 0.3261  1 Ag 2.72, 1 La 2.76
10 Cl 0.3376 0.1688 0.6739  1 Ag 2.72, 1 La 2.76
11 Cl 0.5000 0.0000 0.0000  2 Ag 2.62
12 Cl 0.5000 0.5000 0.0000  2 Ag 2.62
13 Cl 0.6624 0.8312 0.3261  1 Ag 2.72, 1 La 2.76
14 Cl 0.8312 0.1688 0.6739  1 Ag 2.72, 1 La 2.76
15 Cl 0.8312 0.6624 0.6739  1 Ag 2.72, 1 La 2.76